No. 1
VASP calculation (PBE) on a geometry-optimized SbTe2HIr structure.

Unit cell a=4.9465 b=4.9465 c=3.9366 alpha=90.00 beta=90.00 gamma=90.00
Element x y z (fractional)
Sb1 0.0000 0.0000 0.0000
Te1 0.0000 0.5000 0.5000
Te2 0.5000 0.0000 0.5000
H1 0.0000 0.0000 0.5000
Ir1 0.5000 0.5000 0.0000

Summary:
As for the crystal system: tetragonal. As for the space group: No. 123. The energy above the most stable polymorph in this dataset is 0.0000 eV per atom. The raw total energy comes out at -3.7148 eV per atom. For the volume, the calculation gives 19.26 A^3/atom.


No. 2
VASP calculation (PBE) on a geometry-optimized La4TlIr2 structure.

Unit cell a=9.6698 b=8.3793 c=8.3586 alpha=70.58 beta=54.81 gamma=54.61
Element x y z (fractional)
La1 0.1479 0.2828 0.2844
La2 0.2151 0.7156 0.7172
La3 0.2828 0.1479 0.7849
La4 0.2844 0.7849 0.1479
La5 0.7156 0.2151 0.8521
La6 0.7172 0.8521 0.2151
La7 0.7849 0.2844 0.2828
La8 0.8521 0.7172 0.7156
Tl1 0.3750 0.3750 0.3750
Tl2 0.6250 0.6250 0.6250
Ir1 0.0000 0.0000 0.0000
Ir2 0.0000 0.0000 0.5000
Ir3 0.0000 0.5000 0.0000
Ir4 0.5000 0.0000 0.0000

Summary:
As for the crystal system: orthorhombic. As for the space group: No. 70. The energy above the most stable polymorph in this dataset is 0.1248 eV per atom. The raw total energy comes out at -6.1959 eV per atom. The calculation puts the formation energy at -0.51 eV/atom. For the volume, the calculation gives 32.23 A^3/atom.


No. 3
VASP calculation (PBE) on a geometry-optimized Cu5Pb4 structure.

Unit cell a=7.0585 b=7.0585 c=7.0585 alpha=94.96 beta=94.96 gamma=145.82
Element x y z (fractional)
Cu1 0.0000 0.0000 0.0000
Cu2 0.3696 0.3696 0.7392
Cu3 0.3696 0.6304 0.0000
Cu4 0.6304 0.3696 0.0000
Cu5 0.6304 0.6304 0.2608
Pb1 0.0000 0.2958 0.2958
Pb2 0.0000 0.7042 0.7042
Pb3 0.2958 0.0000 0.2958
Pb4 0.7042 0.0000 0.7042

Summary:
As for the crystal system: tetragonal. As for the space group: No. 139. The energy above the most stable polymorph in this dataset is 0.0000 eV per atom. The raw total energy comes out at -3.6839 eV per atom. The calculation puts the formation energy at 0.24 eV/atom. For the volume, the calculation gives 20.98 A^3/atom.


No. 4
VASP calculation (PBE) on a geometry-optimized Na2Ge5Pd3 structure.

Unit cell a=8.7182 b=8.7182 c=8.7182 alpha=109.87 beta=83.56 gamma=140.57
Element x y z (fractional)
Na1 0.1452 0.2310 0.3762
Na2 0.3548 0.7310 0.0858
Na3 0.6452 0.2690 0.9142
Na4 0.8548 0.7690 0.6238
Ge1 0.0401 0.7500 0.2901
Ge2 0.0976 0.6679 0.7655
Ge3 0.2500 0.2500 0.0000
Ge4 0.4024 0.1679 0.5703
Ge5 0.4599 0.7500 0.7099
Ge6 0.5401 0.2500 0.2901
Ge7 0.5976 0.8321 0.4297
Ge8 0.7500 0.7500 0.0000
Ge9 0.9024 0.3321 0.2345
Ge10 0.9599 0.2500 0.7099
Pd1 0.1437 0.9095 0.0532
Pd2 0.2500 0.7500 0.5000
Pd3 0.3563 0.4095 0.7658
Pd4 0.6437 0.5905 0.2342
Pd5 0.7500 0.2500 0.5000
Pd6 0.8563 0.0905 0.9468

Summary:
As for the crystal system: orthorhombic. As for the space group: No. 72. The energy above the most stable polymorph in this dataset is 0.0000 eV per atom. The raw total energy comes out at -4.4418 eV per atom. The calculation puts the formation energy at -0.31 eV/atom. For the volume, the calculation gives 19.16 A^3/atom.


No. 5
VASP calculation (PBE) on a geometry-optimized TlAg5Pd6 structure.

Unit cell a=4.7360 b=6.1356 c=7.1257 alpha=90.00 beta=100.13 gamma=90.00
Element x y z (fractional)
Tl1 0.0000 0.0000 0.0000
Ag1 0.0000 0.5000 0.0000
Ag2 0.3431 0.0000 0.6598
Ag3 0.3434 0.5000 0.6661
Ag4 0.6569 0.0000 0.3402
Ag5 0.6566 0.5000 0.3339
Pd1 0.1552 0.2513 0.3324
Pd2 0.1552 0.7487 0.3324
Pd3 0.5000 0.2492 0.0000
Pd4 0.5000 0.7508 0.0000
Pd5 0.8448 0.2513 0.6676
Pd6 0.8448 0.7487 0.6676

Summary:
As for the crystal system: monoclinic. As for the space group: No. 10. The energy above the most stable polymorph in this dataset is 0.0000 eV per atom. The raw total energy comes out at -4.0627 eV per atom. The calculation puts the formation energy at -0.08 eV/atom. For the volume, the calculation gives 16.99 A^3/atom.


No. 6
VASP calculation (PBE) on a geometry-optimized SrGa2Bi2 structure.

Unit cell a=4.6611 b=4.6611 c=14.5836 alpha=90.00 beta=90.00 gamma=90.00
Element x y z (fractional)
Sr1 0.0000 0.0000 0.0000
Sr2 0.5000 0.5000 0.5000
Ga1 0.0000 0.5000 0.2500
Ga2 0.0000 0.5000 0.7500
Ga3 0.5000 0.0000 0.2500
Ga4 0.5000 0.0000 0.7500
Bi1 0.0000 0.0000 0.3873
Bi2 0.0000 0.0000 0.6127
Bi3 0.5000 0.5000 0.1127
Bi4 0.5000 0.5000 0.8873

Summary:
As for the crystal system: tetragonal. As for the space group: No. 139. The energy above the most stable polymorph in this dataset is 0.0120 eV per atom. The raw total energy comes out at -3.3508 eV per atom. The calculation puts the formation energy at -0.25 eV/atom. For the volume, the calculation gives 31.68 A^3/atom.


No. 7
VASP calculation (PBE) on a geometry-optimized ScTlZn2 structure.

Unit cell a=4.3121 b=4.3121 c=8.5826 alpha=90.00 beta=90.00 gamma=90.00
Element x y z (fractional)
Sc1 0.0000 0.0000 0.0000
Sc2 0.5000 0.5000 0.5000
Tl1 0.0000 0.0000 0.5000
Tl2 0.5000 0.5000 0.0000
Zn1 0.0000 0.5000 0.2500
Zn2 0.0000 0.5000 0.7500
Zn3 0.5000 0.0000 0.2500
Zn4 0.5000 0.0000 0.7500

Summary:
As for the crystal system: tetragonal. As for the space group: No. 139. The energy above the most stable polymorph in this dataset is 0.0960 eV per atom. The raw total energy comes out at -2.8848 eV per atom. The calculation puts the formation energy at -0.07 eV/atom. For the volume, the calculation gives 19.95 A^3/atom.


No. 8
VASP calculation (PBE) on a geometry-optimized ScTe2As structure.

Unit cell a=3.8390 b=3.9785 c=15.4806 alpha=90.00 beta=90.00 gamma=90.00
Element x y z (fractional)
Sc1 0.0000 0.0000 0.0000
Sc2 0.5000 0.5000 0.5000
Te1 0.0000 0.0000 0.5751
Te2 0.0000 0.5000 0.8271
Te3 0.5000 0.0000 0.3271
Te4 0.5000 0.5000 0.0751
As1 0.0000 0.5000 0.3627
As2 0.5000 0.0000 0.8627

Summary:
As for the crystal system: orthorhombic. As for the space group: No. 44. The raw total energy comes out at -4.9378 eV per atom. For the volume, the calculation gives 29.56 A^3/atom.